Entry 1:
A relaxed Th6IrAu crystal, computed with PBE.

## Properties
- formation energy (eV per atom) = -0.34

Cell: 9.152 9.152 5.209 Å, 73.48 73.48 33.07°
Fractional coordinates of all 8 atoms:
Th (0.247, 0.247, 0.753)
Th (0.895, 0.895, 0.606)
Th (0.395, 0.395, 0.105)
Th (0.105, 0.105, 0.394)
Th (0.753, 0.753, 0.247)
Th (0.605, 0.605, 0.895)
Ir (0.000, 0.000, 0.000)
Au (0.500, 0.500, 0.500)

---

Entry 2:
A relaxed CsSr3Li crystal, computed with PBE.

## Properties
- polymorph energy (0 for the lowest one) (eV/atom) = 0.000
- formation energy (eV per atom) = 0.17

Cell: 6.673 6.673 6.673 Å, 90.00 90.00 90.00°
Fractional coordinates of all 5 atoms:
Cs (0.500, 0.500, 0.500)
Sr (0.000, 0.500, 0.000)
Sr (0.000, 0.000, 0.500)
Sr (0.500, 0.000, 0.000)
Li (0.000, 0.000, 0.000)

---

Entry 3:
A relaxed Pa2MnSn crystal, computed with PBE.

## Properties
- polymorph energy (0 for the lowest one) (eV/atom) = 0.141
- formation energy (eV per atom) = -0.04

Cell: 4.697 4.323 4.323 Å, 90.00 90.00 90.00°
Each line ends with the local moment (μB).
Fractional coordinates of all 4 atoms:
Pa (0.000, 0.000, 0.500)  -0.51
Pa (0.000, 0.500, 0.000)  -0.51
Sn (0.500, 0.500, 0.500)  -0.03
Mn (0.500, 0.000, 0.000)  3.09

---

Entry 4:
A relaxed TeOsSCl2 crystal, computed with PBE.

## Properties
- polymorph energy (0 for the lowest one) (eV/atom) = 0.000
- formation energy without anion corrections (eV per formula unit) = 2.15

Cell: 4.847 4.847 4.560 Å, 90.00 90.00 90.00°
Fractional coordinates of all 5 atoms:
S (0.000, 0.000, 0.500)
Te (0.500, 0.500, 0.500)
Os (0.000, 0.000, 0.000)
Cl (0.000, 0.500, 0.000)
Cl (0.500, 0.000, 0.000)

---

Entry 5:
A relaxed Li2TbSi2Au2 crystal, computed with PBE.

## Properties
- formation energy without anion corrections (eV per formula unit) = -4.21

Cell: 4.253 4.253 8.319 Å, 75.19 75.19 60.00°
Fractional coordinates of all 7 atoms:
Li (0.141, 0.141, 0.576)
Li (0.859, 0.859, 0.424)
Tb (0.000, 0.000, 0.000)
Si (0.745, 0.745, 0.765)
Si (0.255, 0.255, 0.235)
Au (0.575, 0.575, 0.275)
Au (0.425, 0.425, 0.725)

---

Entry 6:
A relaxed Zn7Cd crystal, computed with PBE.

## Properties
- formation energy (eV per atom) = 0.07

Cell: 5.678 5.678 5.678 Å, 60.00 60.00 60.00°
Fractional coordinates of all 8 atoms:
Cd (0.000, 0.000, 0.000)
Zn (0.000, 0.000, 0.500)
Zn (0.000, 0.500, 0.000)
Zn (0.000, 0.500, 0.500)
Zn (0.500, 0.000, 0.000)
Zn (0.500, 0.000, 0.500)
Zn (0.500, 0.500, 0.000)
Zn (0.500, 0.500, 0.500)

---

Entry 7:
A relaxed CdGePtN2 crystal, computed with PBE.

## Properties
- formation energy without anion corrections (eV per formula unit) = 5.47

Cell: 3.862 5.114 3.862 Å, 90.00 90.00 90.00°
Each line ends with the local moment (μB).
Fractional coordinates of all 5 atoms:
Ge (0.000, 0.000, 0.000)  -0.07
N (0.000, 0.000, 0.500)  0.68
N (0.500, 0.000, 0.000)  0.75
Pt (0.000, 0.500, 0.000)  0.17
Cd (0.500, 0.500, 0.500)  -0.01

---

Entry 8:
A relaxed BePb4Cl crystal, computed with PBE.

## Properties
- formation energy without anion corrections (eV per formula unit) = 2.98

Cell: 6.431 6.431 6.431 Å, 60.00 60.00 60.00°
Fractional coordinates of all 6 atoms:
Be (0.750, 0.750, 0.750)
Pb (0.873, 0.376, 0.376)
Pb (0.376, 0.376, 0.873)
Pb (0.376, 0.873, 0.376)
Pb (0.376, 0.376, 0.376)
Cl (0.000, 0.000, 0.000)

---

Entry 9:
A relaxed Na4PaSn3Te8 crystal, computed with PBE.

## Properties
- formation energy without anion corrections (eV per formula unit) = -10.54

Cell: 8.979 9.126 8.980 Å, 119.50 120.00 90.00°
Fractional coordinates of all 16 atoms:
Na (0.500, 0.000, 0.000)
Na (0.500, 0.000, 0.500)
Na (0.000, 0.000, 0.000)
Na (0.000, 0.000, 0.500)
Pa (0.000, 0.500, 0.000)
Sn (0.500, 0.500, 0.000)
Sn (0.500, 0.500, 0.500)
Sn (0.000, 0.500, 0.500)
Te (0.237, 0.729, 0.992)
Te (0.237, 0.729, 0.474)
Te (0.252, 0.257, 0.504)
Te (0.755, 0.729, 0.992)
Te (0.245, 0.271, 0.008)
Te (0.748, 0.743, 0.496)
Te (0.763, 0.271, 0.526)
Te (0.763, 0.271, 0.008)

---

Entry 10:
A relaxed Sc5ZnCd2Ir2 crystal, computed with PBE.

## Properties
- formation energy (eV per atom) = -0.49

Cell: 3.489 10.955 10.955 Å, 90.00 90.00 90.00°
Fractional coordinates of all 20 atoms:
Sc (0.500, 0.199, 0.077)
Sc (0.500, 0.801, 0.923)
Sc (0.500, 0.077, 0.801)
Sc (0.500, 0.699, 0.423)
Sc (0.500, 0.923, 0.199)
Sc (0.500, 0.301, 0.577)
Sc (0.500, 0.577, 0.699)
Sc (0.500, 0.423, 0.301)
Sc (0.500, 0.500, 0.000)
Sc (0.500, 0.000, 0.500)
Zn (0.000, 0.000, 0.000)
Zn (0.000, 0.500, 0.500)
Cd (0.000, 0.671, 0.171)
Cd (0.000, 0.329, 0.829)
Cd (0.000, 0.171, 0.329)
Cd (0.000, 0.829, 0.671)
Ir (0.000, 0.131, 0.631)
Ir (0.000, 0.869, 0.369)
Ir (0.000, 0.631, 0.869)
Ir (0.000, 0.369, 0.131)

---

Entry 11:
A relaxed Tc2PO8 crystal, computed with PBE.

## Properties
- formation energy without anion corrections (eV per formula unit) = -14.10

Cell: 4.912 5.917 5.917 Å, 71.52 88.08 88.08°
Fractional coordinates of all 11 atoms:
Tc (0.576, 0.197, 0.197)
Tc (0.424, 0.803, 0.803)
P (0.000, 0.000, 0.000)
O (0.196, 0.081, 0.745)
O (0.196, 0.745, 0.081)
O (0.804, 0.919, 0.255)
O (0.345, 0.634, 0.634)
O (0.804, 0.255, 0.919)
O (0.226, 0.147, 0.147)
O (0.774, 0.853, 0.853)
O (0.655, 0.366, 0.366)

---

Entry 12:
A relaxed CsSnHg14 crystal, computed with PBE.

## Properties
- formation energy (eV per atom) = -0.02

Cell: 7.198 7.198 9.311 Å, 90.00 90.00 90.00°
Fractional coordinates of all 16 atoms:
Cs (0.875, 0.875, 0.500)
Sn (0.375, 0.375, 0.500)
Hg (0.875, 0.875, 0.000)
Hg (0.375, 0.375, 0.000)
Hg (0.875, 0.375, 0.500)
Hg (0.875, 0.375, 0.000)
Hg (0.375, 0.875, 0.500)
Hg (0.375, 0.875, 0.000)
Hg (0.608, 0.142, 0.236)
Hg (0.608, 0.142, 0.764)
Hg (0.142, 0.608, 0.236)
Hg (0.142, 0.608, 0.764)
Hg (0.608, 0.608, 0.236)
Hg (0.608, 0.608, 0.764)
Hg (0.142, 0.142, 0.236)
Hg (0.142, 0.142, 0.764)

---

We obtain total magnetic moment values of 0.00; 0.00; 2.02; 0.00; 0.00; 0.00; 2.04; 0.00; 0.00; 0.00; 0.00; 0.00 μB/cell for the records listed above, in that order.
We obtain uncorrected energy values of -0.273; -0.051; -0.297; -0.147; -0.158; -0.043; -0.167; -0.107; -0.143; -0.211; -0.267; -0.022 hartree per atom for the records listed above, in that order.
We obtain D(E_F) values of 0.83; 1.10; 1.78; 0.72; 0.30; 0.54; 0.39; 0.53; 0.54; 0.93; 0.31; 0.36 states/eV/atom for the records listed above, in that order.